# meta-GGA SCAN MoRhO2F, single point on PBEsol structure
# Spin magnetization   0.4696 μB per atom
# E_form (uncorrected)   -0.974 eV per atom
# Space group   P4/mmm (123)
data_MoRhO2F
_chemical_formula_sum 'Mo1 Rh1 O2 F1'
_space_group_name_H-M_alt 'P 1'
_space_group_IT_number 1
_cell_length_a 3.8364
_cell_length_b 3.8364
_cell_length_c 4.0775
_cell_angle_alpha 90.00
_cell_angle_beta 90.00
_cell_angle_gamma 90.00
loop_
_space_group_symop_operation_xyz
'x,y,z'
loop_
_atom_site_label
_atom_site_type_symbol
_atom_site_fract_x
_atom_site_fract_y
_atom_site_fract_z
Mo1 Mo 0.0000 0.0000 0.0000
Rh1 Rh 0.5000 0.5000 0.5000
O1 O 0.0000 0.5000 0.0000
O2 O 0.5000 0.0000 0.0000
F1 F 0.0000 0.0000 0.5000